A relaxed GaB3Au crystal. Source: Alexandria via LeMat-Bulk, functional PBE.

```
GaB3Au
1.0
4.2305 0.0000 0.0000
0.0000 4.2305 0.0000
0.0000 0.0000 4.2305
Ga B Au
1 3 1
Cartesian
0.0000 0.0000 0.0000
0.0000 2.1152 2.1152
2.1152 0.0000 2.1152
2.1152 2.1152 0.0000
2.1152 2.1152 2.1152
```

## Properties
**Polymorph energy (0 for the lowest one)**: 0.000 eV per formula unit
**ΔH_f (0 K)**: 1.705 eV per atom


A relaxed LiZnGeO crystal. Source: Alexandria via LeMat-Bulk, functional PBE.

```
LiZnGeO
1.0
14.1408 0.0000 0.0000
0.0000 2.8695 0.0000
-0.0039 0.0000 2.7603
Li Zn Ge O
2 2 2 2
Cartesian
0.0000 0.0000 0.0000
7.0704 1.4347 0.0000
4.7137 0.0000 1.3646
11.7841 1.4347 1.3646
2.2971 1.4347 0.0086
9.3675 0.0000 0.0086
0.7848 1.4347 1.3828
7.8552 0.0000 1.3828
```

## Properties
**Polymorph energy (0 for the lowest one)**: 0.655 eV per formula unit
**ΔE_f (raw)**: -716 meV per atom


A relaxed Na2PrNpS4 crystal. Source: Alexandria via LeMat-Bulk, functional PBE.

```
Na2PrNpS4
1.0
7.0957 0.0000 0.0000
0.0000 4.0996 0.0000
-2.3880 0.0000 6.6905
Na Pr Np S
2 1 1 4
Cartesian
0.0000 0.0000 0.0000
-1.1940 2.0498 3.3452
2.3539 0.0000 3.3452
3.5479 2.0498 0.0000
1.2900 2.0498 1.6606
0.1031 0.0000 5.1228
4.6046 0.0000 1.5677
3.4178 2.0498 5.0299
```

## Properties
**ΔE_f (raw)**: -1553 meV per atom


A relaxed CeThInPb crystal. Source: Alexandria via LeMat-Bulk, functional PBE.

```
CeThInPb
1.0
4.6135 0.0000 0.0000
0.0000 4.9883 0.0000
0.0000 0.0000 5.0120
Ce Th In Pb
1 1 1 1
Cartesian
0.0000 0.0000 0.0000
0.0000 2.4942 2.5060
2.3067 0.0000 2.5060
2.3067 2.4942 0.0000
```

## Properties
**Polymorph energy (0 for the lowest one)**: 0.000 eV per formula unit
**ΔH_f (0 K)**: -0.327 eV per atom


A relaxed Sc2BeRe crystal. Source: Alexandria via LeMat-Bulk, functional PBE.

```
Sc2BeRe
1.0
3.1838 0.0000 0.0000
0.0000 3.1838 0.0000
0.0000 0.0000 6.9995
Sc Be Re
2 1 1
Cartesian
0.0000 0.0000 0.0000
1.5919 1.5919 2.7011
0.0000 0.0000 4.3586
1.5919 1.5919 5.2350
```

## Properties
**ΔH_f (0 K)**: -0.051 eV per atom


A relaxed HfW3Au crystal. Source: Alexandria via LeMat-Bulk, functional PBE.

```
HfW3Au
1.0
4.8311 0.0000 0.0000
0.0000 4.8311 0.0000
0.0000 0.0000 4.8311
Hf W Au
1 3 1
Cartesian
0.0000 0.0000 0.0000
0.0000 2.4156 2.4156
2.4156 0.0000 2.4156
2.4156 2.4156 0.0000
2.4156 2.4156 2.4156
```

## Properties
**Polymorph energy (0 for the lowest one)**: 0.000 eV per formula unit
**ΔH_f (0 K)**: 2.327 eV per atom